CaMgIn2 after structural relaxation, computed with GGA-PBE.

The structure belongs to space group R-3m (No. 166, hexagonal axes); the cell edges are 3.5599, 3.5599 and 29.9334 Å and the angles 90.00°, 90.00° and 120.00°. Symmetry generates all atoms from Ca at (0.0000, 0.0000, 0.0000), Mg at (0.0000, 0.0000, 0.5000) and In at (0.0000, 0.0000, 0.2453).

For the formation energy from the elements, the calculation gives -0.160 eV/atom.